## PmCu4Ag (PBE-GGA)

Data for PmCu4Ag after structural relaxation.

Computed properties:
total moment = 0.00 μB per formula unit
energy of formation = -0.18 eV/atom
VASP energy = -4.182 eV/atom

Cell: 5.116 5.116 5.116 Å, 60.00 60.00 60.00°
Element x y z (fractional)
Pm (0.000, 0.000, 0.000)
Cu (0.130, 0.623, 0.623)
Cu (0.623, 0.130, 0.623)
Cu (0.623, 0.623, 0.130)
Cu (0.623, 0.623, 0.623)
Ag (0.250, 0.250, 0.250)



## ZrAlSi2 (PBE-GGA)

Data for ZrAlSi2 after structural relaxation.

Computed properties:
total moment = 0.00 μB per formula unit
energy relative to the elements, uncorrected = -0.2927 eV/atom
VASP energy = -6.077 eV/atom

Cell: 4.993 4.993 4.993 Å, 133.41 133.10 68.26°
Element x y z (fractional)
Zr (0.000, 0.000, 0.000)
Al (0.500, 0.500, 0.000)
Si (0.250, 0.750, 0.500)
Si (0.750, 0.250, 0.500)



The highest VASP energy belongs to which entry? PmCu4Ag



Look up the VASP energy of the first one. -4.182 eV/atom



Please write out number 1 again, unchanged.
## PmCu4Ag (PBE-GGA)

Data for PmCu4Ag after structural relaxation.

Computed properties:
total moment = 0.00 μB per formula unit
energy of formation = -0.18 eV/atom
VASP energy = -4.182 eV/atom

Cell: 5.116 5.116 5.116 Å, 60.00 60.00 60.00°
Element x y z (fractional)
Pm (0.000, 0.000, 0.000)
Cu (0.130, 0.623, 0.623)
Cu (0.623, 0.130, 0.623)
Cu (0.623, 0.623, 0.130)
Cu (0.623, 0.623, 0.623)
Ag (0.250, 0.250, 0.250)